Entry 1:
A plane-wave DFT calculation with GGA-PBE was carried out for crystalline GdInHgTe3 at its relaxed geometry.

Output
- space-group type = Cmcm, No. 63

The structure in CIF format:
```
data_GdInHgTe3
_space_group_name_H-M_alt 'P 1'
_space_group_IT_number 1
_cell_length_a 7.947
_cell_length_b 7.947
_cell_length_c 11.532
_cell_angle_alpha 90.00
_cell_angle_beta 90.00
_cell_angle_gamma 32.29
loop_
_space_group_symop_operation_xyz
'x,y,z'
loop_
_atom_site_label
_atom_site_type_symbol
_atom_site_fract_x
_atom_site_fract_y
_atom_site_fract_z
Hg1 Hg 0.535 0.535 0.750
Hg2 Hg 0.465 0.465 0.250
Te1 Te 0.358 0.358 0.049
Te2 Te 0.642 0.642 0.549
Te3 Te 0.088 0.088 0.250
Te4 Te 0.642 0.642 0.951
Te5 Te 0.358 0.358 0.451
Te6 Te 0.912 0.912 0.750
Gd1 Gd 0.000 0.000 0.000
Gd2 Gd 0.000 0.000 0.500
In1 In 0.760 0.760 0.250
In2 In 0.240 0.240 0.750
```

Entry 2:
A plane-wave DFT calculation with GGA-PBE was carried out for crystalline RbHoPd at its relaxed geometry.

Output
- space-group type = F-43m, No. 216

The structure in CIF format:
```
data_RbHoPd
_space_group_name_H-M_alt 'P 1'
_space_group_IT_number 1
_cell_length_a 5.132
_cell_length_b 5.132
_cell_length_c 5.132
_cell_angle_alpha 60.00
_cell_angle_beta 60.00
_cell_angle_gamma 60.00
loop_
_space_group_symop_operation_xyz
'x,y,z'
loop_
_atom_site_label
_atom_site_type_symbol
_atom_site_fract_x
_atom_site_fract_y
_atom_site_fract_z
Pd1 Pd 0.000 0.000 0.000
Ho1 Ho 0.250 0.250 0.250
Rb1 Rb 0.750 0.750 0.750
```

Entry 3:
A plane-wave DFT calculation with GGA-PBE was carried out for crystalline RbYCdSe3 at its relaxed geometry.

Output
- space-group type = C2/m, No. 12

The structure in CIF format:
```
data_RbYCdSe3
_space_group_name_H-M_alt 'P 1'
_space_group_IT_number 1
_cell_length_a 9.278
_cell_length_b 9.278
_cell_length_c 9.403
_cell_angle_alpha 102.61
_cell_angle_beta 102.61
_cell_angle_gamma 26.50
loop_
_space_group_symop_operation_xyz
'x,y,z'
loop_
_atom_site_label
_atom_site_type_symbol
_atom_site_fract_x
_atom_site_fract_y
_atom_site_fract_z
Se1 Se 0.666 0.666 0.870
Se2 Se 0.000 0.000 0.000
Se3 Se 0.334 0.334 0.130
Se4 Se 0.336 0.336 0.721
Se5 Se 0.664 0.664 0.279
Se6 Se 0.500 0.500 0.500
Cd1 Cd 0.492 0.492 0.780
Cd2 Cd 0.508 0.508 0.220
Rb1 Rb 0.146 0.146 0.565
Rb2 Rb 0.854 0.854 0.435
Y1 Y 0.171 0.171 0.081
Y2 Y 0.829 0.829 0.919
```

Entry 4:
A plane-wave DFT calculation with GGA-PBE was carried out for crystalline KAg3PbO4 at its relaxed geometry.

Output
- space-group type = P-43m, No. 215

The structure in CIF format:
```
data_KAg3PbO4
_space_group_name_H-M_alt 'P 1'
_space_group_IT_number 1
_cell_length_a 5.767
_cell_length_b 5.767
_cell_length_c 5.767
_cell_angle_alpha 90.00
_cell_angle_beta 90.00
_cell_angle_gamma 90.00
loop_
_space_group_symop_operation_xyz
'x,y,z'
loop_
_atom_site_label
_atom_site_type_symbol
_atom_site_fract_x
_atom_site_fract_y
_atom_site_fract_z
Pb1 Pb 0.500 0.500 0.500
Ag1 Ag 0.500 0.500 0.000
Ag2 Ag 0.000 0.500 0.500
Ag3 Ag 0.500 0.000 0.500
O1 O 0.286 0.714 0.714
O2 O 0.714 0.714 0.286
O3 O 0.714 0.286 0.714
O4 O 0.286 0.286 0.286
K1 K 0.000 0.000 0.000
```

Number 1: final energy -42.3 eV/cell. Number 2: final energy -10.1 eV/cell. Number 3: final energy -52.8 eV/cell. Number 4: final energy -35.9 eV/cell.